Density functional theory data (GGA-PBE) for crystalline AlRuAu3 at its relaxed geometry.

Cell and atoms, written as POSCAR:
```
AlRuAu3
1.0
-1.796 -3.956 1.815
3.614 -0.261 3.006
-2.425 2.540 3.136
Ru Al Au
1 1 3
direct
0.500 0.500 0.500
0.000 0.000 0.000
0.000 0.500 0.000
0.500 0.000 0.000
0.000 0.000 0.500
```

Summary:
For the formation energy, the calculation gives 870 meV per atom. The value obtained for the offset from the most stable computed form is 0 meV per atom. The crystal system is cubic. Its space group is Pm-3m (221).